Record 1
Entry from the Open Quantum Materials Database: a relaxed Pm3ZrF crystal (PBE-GGA).

Cell: 4.9802 4.9802 4.9802 Å, 90.00 90.00 90.00°
Closest atoms and distances in Å follow each position.
Atoms (fractional coordinates):
Pm 0.0000 0.0000 0.5000  2 F 2.49
Pm 0.0000 0.5000 0.0000  2 F 2.49
Pm 0.5000 0.0000 0.0000  2 F 2.49
Zr 0.5000 0.5000 0.5000  12 Pm 3.52
F 0.0000 0.0000 0.0000  6 Pm 2.49

Results
Spin magnetization ... 0.0 μB per formula unit
Symmetry ... Pm-3m, No. 221
Crystal system ... cubic

=====

Record 2
Entry from the Open Quantum Materials Database: a relaxed PrF2 crystal (PBE-GGA).

Cell: 4.5388 4.5388 4.5388 Å, 47.59 47.59 47.59°
Closest atoms and distances in Å follow each position.
Atoms (fractional coordinates):
Pr 0.0000 0.0000 0.0000  7 F 2.44-2.66
F 0.5660 0.5660 0.5660  3 Pr 2.44, 4 F 2.56-2.57
F 0.7791 0.7791 0.7791  4 Pr 2.51-2.66, 4 F 2.56-2.57

Results
Spin magnetization ... 1.0 μB per formula unit
Symmetry ... R3m, No. 160
Crystal system ... trigonal

=====

Record 3
Entry from the Open Quantum Materials Database: a relaxed PrF2 crystal (PBE-GGA).

Cell: 4.8115 4.8115 4.8115 Å, 60.00 60.00 60.00°
Closest atoms and distances in Å follow each position.
Atoms (fractional coordinates):
Pr 0.1250 0.1250 0.1250  12 F 2.82, 4 Pr 2.95
Pr 0.8750 0.8750 0.8750  12 F 2.82, 4 Pr 2.95
F 0.0000 0.5000 0.5000  6 F 2.41
F 0.5000 0.0000 0.5000  6 F 2.41
F 0.5000 0.5000 0.0000  6 F 2.41
F 0.5000 0.5000 0.5000  6 F 2.41

Results
Spin magnetization ... 0.0 μB per formula unit
Symmetry ... Fd-3m, No. 227
Crystal system ... cubic

=====

Record 4
Entry from the Open Quantum Materials Database: a relaxed PrF2 crystal (PBE-GGA).

Cell: 4.2455 5.0135 7.7819 Å, 90.00 90.00 90.00°
Closest atoms and distances in Å follow each position.
Atoms (fractional coordinates):
Pr 0.0989 0.0579 0.1112  9 F 2.42-2.69
Pr 0.4011 0.9421 0.6112  9 F 2.42-2.69
Pr 0.5989 0.4421 0.8888  9 F 2.42-2.69
Pr 0.9011 0.5579 0.3888  9 F 2.42-2.69
F 0.0782 0.5607 0.0569  5 Pr 2.49-2.69, 4 F 2.62-2.77
F 0.0909 0.2093 0.8081  4 Pr 2.42-2.53, 3 F 2.62-2.69
F 0.4091 0.7907 0.3081  4 Pr 2.42-2.53, 3 F 2.62-2.69
F 0.4218 0.4393 0.5569  5 Pr 2.49-2.69, 4 F 2.62-2.77
F 0.5782 0.9393 0.9431  5 Pr 2.49-2.69, 4 F 2.62-2.77
F 0.5909 0.2907 0.1919  4 Pr 2.42-2.53, 3 F 2.62-2.69
F 0.9091 0.7093 0.6919  4 Pr 2.42-2.53, 3 F 2.62-2.69
F 0.9218 0.0607 0.4431  5 Pr 2.49-2.69, 4 F 2.62-2.77

Results
Spin magnetization ... 0.0 μB per formula unit
Symmetry ... P2_12_12_1, No. 19
Crystal system ... orthorhombic

=====

Record 5
Entry from the Open Quantum Materials Database: a relaxed PrF2 crystal (PBE-GGA).

Cell: 7.1148 7.1148 7.1148 Å, 60.00 60.00 60.00°
Closest atoms and distances in Å follow each position.
Atoms (fractional coordinates):
Pr 0.1250 0.1250 0.1250  4 F 2.18
Pr 0.8750 0.8750 0.8750  4 F 2.18
F 0.0000 0.0000 0.0000  2 Pr 2.18
F 0.0000 0.0000 0.5000  2 Pr 2.18
F 0.0000 0.5000 0.0000  2 Pr 2.18
F 0.5000 0.0000 0.0000  2 Pr 2.18

Results
Spin magnetization ... 0.0 μB per formula unit
Symmetry ... Fd-3m, No. 227
Crystal system ... cubic

=====

Record 6
Entry from the Open Quantum Materials Database: a relaxed PrF2 crystal (PBE-GGA).

Cell: 5.2289 5.2289 4.0617 Å, 90.00 90.00 90.00°
Closest atoms and distances in Å follow each position.
Atoms (fractional coordinates):
Pr 0.0000 0.0000 0.0000  6 F 2.35-2.44
Pr 0.5000 0.5000 0.5000  6 F 2.35-2.44
F 0.1825 0.1825 0.5000  3 Pr 2.35-2.44
F 0.3175 0.6825 0.0000  3 Pr 2.35-2.44
F 0.6825 0.3175 0.0000  3 Pr 2.35-2.44
F 0.8175 0.8175 0.5000  3 Pr 2.35-2.44

Results
Spin magnetization ... 0.9 μB per formula unit
Symmetry ... P4_2/mnm, No. 136
Crystal system ... tetragonal

=====

Record 7
Entry from the Open Quantum Materials Database: a relaxed PrPtF3 crystal (PBE-GGA).

Cell: 6.8391 6.8391 4.9174 Å, 90.00 90.00 143.30°
Closest atoms and distances in Å follow each position.
Atoms (fractional coordinates):
Pr 0.1506 0.8494 0.7500  6 F 2.31-2.54
Pr 0.8494 0.1506 0.2500  6 F 2.31-2.54
Pt 0.4701 0.5299 0.7500  2 F 2.22
Pt 0.5299 0.4701 0.2500  2 F 2.22
F 0.0724 0.9276 0.2500  2 Pt 2.22
F 0.2986 0.7014 0.0117  3 Pr 2.31-2.54, 4 F 2.34-2.57, 1 Pt 2.57
F 0.2986 0.7014 0.4883  3 Pr 2.31-2.54, 4 F 2.34-2.57, 1 Pt 2.57
F 0.7014 0.2986 0.5117  3 Pr 2.31-2.54, 4 F 2.34-2.57, 1 Pt 2.57
F 0.7014 0.2986 0.9883  3 Pr 2.31-2.54, 4 F 2.34-2.57, 1 Pt 2.57
F 0.9276 0.0724 0.7500  2 Pt 2.22

Results
Spin magnetization ... 0.0 μB per formula unit
Symmetry ... Cmcm, No. 63
Crystal system ... orthorhombic

=====

Record 8
Entry from the Open Quantum Materials Database: a relaxed PrPt3F15 crystal (PBE-GGA).

Cell: 7.2303 7.2303 5.7309 Å, 104.01 104.01 114.94°
Closest atoms and distances in Å follow each position.
Atoms (fractional coordinates):
Pr 0.0000 0.0000 0.0000  9 F 2.27-2.42
Pt 0.4165 0.9468 0.6219  6 F 1.94-2.09
Pt 0.5618 0.5618 0.2063  5 F 1.89-2.04
Pt 0.9468 0.4165 0.6219  6 F 1.94-2.09
F 0.0102 0.2902 0.8789  1 Pt 1.97
F 0.1923 0.9557 0.3654  1 Pt 1.94
F 0.2236 0.6272 0.5683  2 Pt 2.03-2.09
F 0.2902 0.0102 0.8789  1 Pt 1.97
F 0.3361 0.3361 0.2718  1 Pt 1.95
F 0.3691 0.5643 0.9183  1 Pt 1.89
F 0.4960 0.8390 0.3409  1 Pt 1.94
F 0.5643 0.3691 0.9183  1 Pt 1.89
F 0.6272 0.2236 0.5683  2 Pt 2.03-2.09
F 0.6440 0.9743 0.9135  1 Pt 1.94
F 0.7123 0.7123 0.6040  1 Pt 2.04
F 0.8010 0.8010 0.1921  1 Pt 1.90
F 0.8390 0.4960 0.3409  1 Pt 1.94
F 0.9557 0.1923 0.3654  1 Pt 1.94
F 0.9743 0.6440 0.9135  1 Pt 1.94

Results
Spin magnetization ... 0.0 μB per formula unit
Symmetry ... Cm, No. 8
Crystal system ... monoclinic

=====

Record 9
Entry from the Open Quantum Materials Database: a relaxed RbPrF3 crystal (PBE-GGA).

Cell: 4.6738 4.6738 4.6734 Å, 90.00 90.00 90.73°
Closest atoms and distances in Å follow each position.
Atoms (fractional coordinates):
Rb 0.0000 0.0000 0.0000  12 F 3.28-3.33
Pr 0.5000 0.5000 0.5000  6 F 2.34
F 0.0000 0.5000 0.5000  2 Pr 2.34
F 0.5000 0.0000 0.5000  2 Pr 2.34
F 0.5000 0.5000 0.0000  2 Pr 2.34

Results
Spin magnetization ... 0.4 μB per formula unit
Symmetry ... Cmmm, No. 65
Crystal system ... orthorhombic

=====

Record 10
Entry from the Open Quantum Materials Database: a relaxed Rb2PrTlF6 crystal (PBE-GGA).

Cell: 6.6896 6.6896 6.6896 Å, 60.00 60.00 60.00°
Closest atoms and distances in Å follow each position.
Atoms (fractional coordinates):
Rb 0.2500 0.2500 0.2500  12 F 3.35
Rb 0.7500 0.7500 0.7500  12 F 3.35
Pr 0.0000 0.0000 0.0000  6 F 2.24
Tl 0.5000 0.5000 0.5000  6 F 2.49
F 0.2369 0.2369 0.7631  1 Pr 2.24, 1 Tl 2.49
F 0.2369 0.7631 0.2369  1 Pr 2.24, 1 Tl 2.49
F 0.2369 0.7631 0.7631  1 Pr 2.24, 1 Tl 2.49
F 0.7631 0.2369 0.2369  1 Pr 2.24, 1 Tl 2.49
F 0.7631 0.2369 0.7631  1 Pr 2.24, 1 Tl 2.49
F 0.7631 0.7631 0.2369  1 Pr 2.24, 1 Tl 2.49

Results
Spin magnetization ... 0.0 μB per formula unit
Symmetry ... Fm-3m, No. 225
Crystal system ... cubic

=====

Record 11
Entry from the Open Quantum Materials Database: a relaxed Pr2SF4 crystal (PBE-GGA).

Cell: 7.7275 7.7275 7.7275 Å, 30.50 30.50 30.50°
Closest atoms and distances in Å follow each position.
Atoms (fractional coordinates):
Pr 0.2462 0.2462 0.2462  7 F 2.35-2.61
Pr 0.7538 0.7538 0.7538  7 F 2.35-2.61
S 0.0000 0.0000 0.0000  6 Pr 3.04, 8 F 3.06-3.14
F 0.1384 0.1384 0.1384  4 Pr 2.38-2.61, 6 F 2.54-2.66
F 0.4278 0.4278 0.4278  3 Pr 2.35, 3 F 2.54
F 0.5722 0.5722 0.5722  3 Pr 2.35, 3 F 2.54
F 0.8616 0.8616 0.8616  4 Pr 2.38-2.61, 6 F 2.54-2.66

Results
Spin magnetization ... 0.0 μB per formula unit
Symmetry ... R-3m, No. 166
Crystal system ... trigonal

=====

Record 12
Entry from the Open Quantum Materials Database: a relaxed Pr2SeSF2 crystal (PBE-GGA).

Cell: 3.9952 3.9952 7.0365 Å, 90.00 90.00 90.00°
Closest atoms and distances in Å follow each position.
Atoms (fractional coordinates):
Pr 0.0000 0.0000 0.0000  4 F 2.55
Pr 0.5000 0.5000 0.4472  4 F 2.54
Se 0.5000 0.5000 0.8673  5 Pr 2.96-2.98, 4 F 3.21
S 0.0000 0.0000 0.5748  5 Pr 2.96-2.99, 4 F 3.17
F 0.0000 0.5000 0.2249  4 Pr 2.54-2.55, 4 F 2.83
F 0.5000 0.0000 0.2249  4 Pr 2.54-2.55, 4 F 2.83

Results
Spin magnetization ... 0.0 μB per formula unit
Symmetry ... P4mm, No. 99
Crystal system ... tetragonal

=====

Record 13
Entry from the Open Quantum Materials Database: a relaxed PrSmS2F2 crystal (PBE-GGA).

Cell: 3.8858 3.8858 6.9125 Å, 90.00 90.00 90.00°
Closest atoms and distances in Å follow each position.
Atoms (fractional coordinates):
Pr 0.0000 0.0000 0.0000  4 F 2.52
Sm 0.5000 0.5000 0.5404  4 F 2.50
S 0.0000 0.0000 0.4189  4 Sm 2.87, 1 Pr 2.90, 4 F 3.09
S 0.5000 0.5000 0.1298  1 Sm 2.84, 4 Pr 2.89, 4 F 3.17
F 0.0000 0.5000 0.7669  2 Sm 2.50, 2 Pr 2.52, 4 F 2.75
F 0.5000 0.0000 0.7669  2 Sm 2.50, 2 Pr 2.52, 4 F 2.75

Results
Spin magnetization ... 0.0 μB per formula unit
Symmetry ... P4mm, No. 99
Crystal system ... tetragonal

=====

Record 14
Entry from the Open Quantum Materials Database: a relaxed TbPrS2F2 crystal (PBE-GGA).

Cell: 3.8536 3.8536 6.8865 Å, 90.00 90.00 90.00°
Closest atoms and distances in Å follow each position.
Atoms (fractional coordinates):
Tb 0.0000 0.0000 0.0000  4 F 2.47
Pr 0.5000 0.5000 0.4592  4 F 2.52
S 0.0000 0.0000 0.5937  1 Tb 2.80, 4 Pr 2.88
S 0.5000 0.5000 0.8808  4 Tb 2.85, 1 Pr 2.90, 4 F 3.05
F 0.0000 0.5000 0.2239  2 Tb 2.47, 2 Pr 2.52, 4 F 2.72
F 0.5000 0.0000 0.2239  2 Tb 2.47, 2 Pr 2.52, 4 F 2.72

Results
Spin magnetization ... 0.0 μB per formula unit
Symmetry ... P4mm, No. 99
Crystal system ... tetragonal

=====

Record 15
Entry from the Open Quantum Materials Database: a relaxed PrYS2F2 crystal (PBE-GGA).

Cell: 3.8493 3.8493 6.8920 Å, 90.00 90.00 90.00°
Closest atoms and distances in Å follow each position.
Atoms (fractional coordinates):
Pr 0.0000 0.0000 0.0000  4 F 2.51
Y 0.5000 0.5000 0.5402  4 F 2.47
S 0.0000 0.0000 0.4223  4 Y 2.84, 1 Pr 2.91, 4 F 3.05
S 0.5000 0.5000 0.1357  1 Y 2.79, 4 Pr 2.88
F 0.0000 0.5000 0.7656  2 Y 2.47, 2 Pr 2.51, 4 F 2.72
F 0.5000 0.0000 0.7656  2 Y 2.47, 2 Pr 2.51, 4 F 2.72

Results
Spin magnetization ... 0.0 μB per formula unit
Symmetry ... P4mm, No. 99
Crystal system ... tetragonal

=====

Record 16
Entry from the Open Quantum Materials Database: a relaxed Pr2SbSe2F crystal (PBE-GGA).

Cell: 4.0795 4.0795 9.0015 Å, 90.00 90.00 90.00°
Closest atoms and distances in Å follow each position.
Atoms (fractional coordinates):
Pr 0.0000 0.5000 0.2167  5 Se 2.99-3.12, 2 F 3.27, 2 Sb 3.27
Pr 0.5000 0.0000 0.7833  5 Se 2.99-3.12, 2 F 3.27, 2 Sb 3.27
Sb 0.0000 0.0000 0.5000  4 F 2.88
Se 0.0000 0.5000 0.8700  5 Pr 2.99-3.12
Se 0.5000 0.0000 0.1300  5 Pr 2.99-3.12
F 0.5000 0.5000 0.5000  4 Sb 2.88

Results
Spin magnetization ... 0.0 μB per formula unit
Symmetry ... P-4m2, No. 115
Crystal system ... tetragonal

=====

Record 17
Entry from the Open Quantum Materials Database: a relaxed PrSmSe2F2 crystal (PBE-GGA).

Cell: 3.9841 3.9841 7.1535 Å, 90.00 90.00 90.00°
Closest atoms and distances in Å follow each position.
Atoms (fractional coordinates):
Pr 0.0000 0.0000 0.0000  4 F 2.54
Sm 0.5000 0.5000 0.4360  4 F 2.52
Se 0.0000 0.0000 0.5721  4 Sm 2.98, 1 Pr 3.06, 4 F 3.21
Se 0.5000 0.5000 0.8560  4 Pr 3.00, 1 Sm 3.00, 4 F 3.28
F 0.0000 0.5000 0.2210  2 Sm 2.52, 2 Pr 2.54, 4 F 2.82
F 0.5000 0.0000 0.2210  2 Sm 2.52, 2 Pr 2.54, 4 F 2.82

Results
Spin magnetization ... 0.0 μB per formula unit
Symmetry ... P4mm, No. 99
Crystal system ... tetragonal

=====

Record 18
Entry from the Open Quantum Materials Database: a relaxed PrSmF3 crystal (PBE-GGA).

Cell: 6.9037 6.9037 6.9121 Å, 101.01 101.01 32.25°
Closest atoms and distances in Å follow each position.
Atoms (fractional coordinates):
Pr 0.1044 0.1044 0.3899  6 F 2.44-2.68
Pr 0.8956 0.8956 0.6101  6 F 2.44-2.68
Sm 0.3785 0.3785 0.1499  6 F 2.36-2.56
Sm 0.6215 0.6215 0.8501  6 F 2.36-2.56
F 0.1970 0.1970 0.0783  3 Sm 2.36-2.56, 1 F 2.61
F 0.3056 0.3056 0.4366  1 Sm 2.37, 3 Pr 2.44-2.62, 1 F 2.61
F 0.4350 0.4350 0.8379  2 Sm 2.42-2.46, 2 Pr 2.47, 1 F 2.54
F 0.5650 0.5650 0.1621  2 Sm 2.42-2.46, 2 Pr 2.47, 1 F 2.54
F 0.6944 0.6944 0.5634  1 Sm 2.37, 3 Pr 2.44-2.62, 1 F 2.61
F 0.8030 0.8030 0.9217  3 Sm 2.36-2.56, 1 F 2.61

Results
Spin magnetization ... 0.0 μB per formula unit
Symmetry ... C2/m, No. 12
Crystal system ... monoclinic

=====

Record 19
Entry from the Open Quantum Materials Database: a relaxed PrSmTe2F2 crystal (PBE-GGA).

Cell: 4.1583 4.1583 7.4997 Å, 90.00 90.00 90.00°
Closest atoms and distances in Å follow each position.
Atoms (fractional coordinates):
Pr 0.0000 0.0000 0.0000  4 F 2.57
Sm 0.5000 0.5000 0.3971  4 F 2.55
Te 0.0000 0.0000 0.5562  4 Sm 3.17, 1 Pr 3.33, 4 F 3.38
Te 0.5000 0.5000 0.8329  4 Pr 3.20, 1 Sm 3.27, 4 F 3.46
F 0.0000 0.5000 0.2013  2 Sm 2.55, 2 Pr 2.57
F 0.5000 0.0000 0.2013  2 Sm 2.55, 2 Pr 2.57

Results
Spin magnetization ... 0.0 μB per formula unit
Symmetry ... P4mm, No. 99
Crystal system ... tetragonal

=====

Record 20
Entry from the Open Quantum Materials Database: a relaxed PrSn2F6 crystal (PBE-GGA).

Cell: 3.8222 3.8222 10.1716 Å, 90.00 90.00 90.00°
Closest atoms and distances in Å follow each position.
Atoms (fractional coordinates):
Pr 0.0000 0.0000 0.0000  12 F 2.45-2.70
Sn 0.5000 0.5000 0.2926  1 F 2.11
Sn 0.5000 0.5000 0.7074  1 F 2.11
F 0.0000 0.5000 0.1512  2 Sn 2.39, 2 F 2.45, 2 Pr 2.45
F 0.0000 0.5000 0.8488  2 Sn 2.39, 2 F 2.45, 2 Pr 2.45
F 0.5000 0.0000 0.1512  2 Sn 2.39, 2 F 2.45, 2 Pr 2.45
F 0.5000 0.0000 0.8488  2 Sn 2.39, 2 F 2.45, 2 Pr 2.45
F 0.5000 0.5000 0.0000  8 F 2.45, 4 Pr 2.70
F 0.5000 0.5000 0.5000  2 Sn 2.11

Results
Spin magnetization ... 0.0 μB per formula unit
Symmetry ... P4/mmm, No. 123
Crystal system ... tetragonal

=====

Number 1: calculated total energy -5.806 eV per atom. Number 2: calculated total energy -6.078 eV per atom. Number 3: calculated total energy -4.816 eV per atom. Number 4: calculated total energy -6.071 eV per atom. Number 5: calculated total energy -5.783 eV per atom. Number 6: calculated total energy -6.072 eV per atom. Number 7: calculated total energy -5.762 eV per atom. Number 8: calculated total energy -4.345 eV per atom. Number 9: calculated total energy -5.240 eV per atom. Number 10: calculated total energy -4.973 eV per atom. Number 11: calculated total energy -6.623 eV per atom. Number 12: calculated total energy -6.414 eV per atom. Number 13: calculated total energy -6.579 eV per atom. Number 14: calculated total energy -6.559 eV per atom. Number 15: calculated total energy -6.851 eV per atom. Number 16: calculated total energy -5.372 eV per atom. Number 17: calculated total energy -6.246 eV per atom. Number 18: calculated total energy -6.157 eV per atom. Number 19: calculated total energy -5.833 eV per atom. Number 20: calculated total energy -5.204 eV per atom.